The following is a PBE-GGA calculation of an optimized crystal structure of TbPmGaSn, from Alexandria.

Calculated values
- distance to the lowest polymorph of the same formula (meV/atom) = 152.9
- formation energy (kJ/mol of formula units) = -215.3

Cell lengths 7.485, 7.485, 7.485 Å; angles 90.00, 90.00, 90.00 degrees
Space group F-43m (No. 216)
One atom of each set of equivalent atoms:
Tb 0.000 0.000 0.000 (multiplicity 4)
Pm 0.000 0.000 0.500 (multiplicity 4)
Ga 0.250 0.250 0.250 (multiplicity 4)
Sn 0.250 0.250 0.750 (multiplicity 4)